# GGA-PBE KPSe3, relaxed
data_KPSe3
_cell_length_a 5.015
_cell_length_b 5.015
_cell_length_c 5.015
_cell_angle_alpha 90.00
_cell_angle_beta 90.00
_cell_angle_gamma 90.00
_symmetry_space_group_name_H-M 'P m -3 m'
_symmetry_Int_Tables_number 221
_symmetry_space_group_name_Hall '-P 4 2 3'
loop_
_atom_site_label
_atom_site_fract_x
_atom_site_fract_y
_atom_site_fract_z
_atom_site_occupancy
K1 0.000 0.000 0.000 1
P1 0.500 0.500 0.500 1
Se1 0.000 0.500 0.500 1
# DFT total energy = -3.5327 eV per atom
# formation energy (no corrections) = -0.141 eV/atom

---

# GGA-PBE KPSe2, relaxed
data_KPSe2
_cell_length_a 3.070
_cell_length_b 3.851
_cell_length_c 8.067
_cell_angle_alpha 90.00
_cell_angle_beta 90.00
_cell_angle_gamma 90.00
_symmetry_space_group_name_H-M 'P m m m'
_symmetry_Int_Tables_number 47
loop_
_symmetry_equiv_pos_as_xyz
'x,y,z'
'-x,-y,-z'
'-x,-y,z'
'x,y,-z'
'x,-y,-z'
'-x,y,z'
'-x,y,-z'
'x,-y,z'
loop_
_atom_site_label
_atom_site_fract_x
_atom_site_fract_y
_atom_site_fract_z
_atom_site_occupancy
K1 0.000 0.000 0.000 1
P1 0.500 0.000 0.500 1
Se1 0.500 0.500 0.281 1
# DFT total energy = -3.5656 eV per atom
# formation energy (no corrections) = -0.197 eV/atom

---

Among the records above, which one has the highest formation energy (no corrections)?
KPSe3

---

Which of these has the highest formation energy (no corrections)?
KPSe3

---

Copy entry 1 word for word.
# GGA-PBE KPSe3, relaxed
data_KPSe3
_cell_length_a 5.015
_cell_length_b 5.015
_cell_length_c 5.015
_cell_angle_alpha 90.00
_cell_angle_beta 90.00
_cell_angle_gamma 90.00
_symmetry_space_group_name_H-M 'P m -3 m'
_symmetry_Int_Tables_number 221
_symmetry_space_group_name_Hall '-P 4 2 3'
loop_
_atom_site_label
_atom_site_fract_x
_atom_site_fract_y
_atom_site_fract_z
_atom_site_occupancy
K1 0.000 0.000 0.000 1
P1 0.500 0.500 0.500 1
Se1 0.000 0.500 0.500 1
# DFT total energy = -3.5327 eV per atom
# formation energy (no corrections) = -0.141 eV/atom